1.
Density functional theory data (GGA-PBE) for an optimized crystal structure of CeNdYN3.

Cell and atoms, written as CIF:
```
data_CeNdYN3
_space_group_name_H-M_alt 'P 1 21/m 1'
_space_group_IT_number 11
_cell_length_a 5.9732
_cell_length_b 3.4123
_cell_length_c 9.6212
_cell_angle_alpha 90.00
_cell_angle_beta 92.86
_cell_angle_gamma 90.00
loop_
_space_group_symop_operation_xyz
'x,y,z'
'-x,-y,-z'
'-x,y+1/2,-z'
'x,-y+1/2,z'
loop_
_atom_site_label
_atom_site_fract_x
_atom_site_fract_y
_atom_site_fract_z
_atom_site_occupancy
Ce1 0.2321 0.2500 0.2431 1
Nd1 0.2952 0.2500 0.8827 1
Y1 0.2568 0.7500 0.5562 1
N1 0.0118 0.2500 0.6597 1
N2 0.2786 0.7500 0.0592 1
N3 0.4888 0.7500 0.3517 1
```

Summary:
formation energy from raw total energies: -1.2985 eV per atom


2.
Density functional theory data (GGA-PBE) for an optimized crystal structure of Ce2NdZnN.

Cell and atoms, written as CIF:
```
data_Ce2NdZnN
_space_group_name_H-M_alt 'P 4/m m m'
_space_group_IT_number 123
_space_group_name_Hall '-P 4 2'
_cell_length_a 4.8189
_cell_length_b 4.8189
_cell_length_c 5.0468
_cell_angle_alpha 90.00
_cell_angle_beta 90.00
_cell_angle_gamma 90.00
loop_
_atom_site_label
_atom_site_fract_x
_atom_site_fract_y
_atom_site_fract_z
_atom_site_occupancy
Ce1 0.0000 0.5000 0.0000 1
Nd1 0.0000 0.0000 0.5000 1
Zn1 0.5000 0.5000 0.5000 1
N1 0.0000 0.0000 0.0000 1
```

Summary:
formation energy from raw total energies: -0.6183 eV per atom


Number 1: DOS at the Fermi energy 7.89 states/eV per cell, raw total energy -99.87 eV/cell. Number 2: DOS at the Fermi energy 10.49 states/eV per cell, raw total energy -29.33 eV/cell.